Entry 1:
# Pm7DyZn4

A geometry-optimized Pm7DyZn4 structure (GGA-PBE, Alexandria).

Properties
E_tot in eV/atom: -3.5939
Total magnetization in μB/atom: 0.00
Mass density in g cm⁻³: 7.11
Space group: C2/m

Cell: 7.5407 7.5407 10.2995 Å, 121.12 121.12 43.70°
Last column: nearest neighbours and their distance in Å.
Fractional positions:
1 Pm 0.0000 0.0000 0.0000  2 Dy 2.81, 4 Zn 2.92-2.95
2 Pm 0.2112 0.2112 0.6547  4 Zn 2.98-3.19
3 Pm 0.2928 0.2928 0.1213  4 Pm 3.26-3.56, 4 Zn 3.36-3.40
4 Pm 0.4323 0.4323 0.6081  5 Zn 3.08-3.40, 2 Pm 3.26-3.39
5 Pm 0.5677 0.5677 0.3919  5 Zn 3.08-3.40, 2 Pm 3.26-3.39
6 Pm 0.7072 0.7072 0.8787  4 Pm 3.26-3.56, 4 Zn 3.36-3.40
7 Pm 0.7888 0.7888 0.3453  4 Zn 2.98-3.19
8 Dy 0.5000 0.5000 0.0000  2 Pm 2.81
9 Zn 0.0482 0.0482 0.7549  1 Zn 2.75, 2 Pm 2.95-2.98
10 Zn 0.1773 0.1773 0.3355  1 Zn 2.75, 3 Pm 2.92-3.08
11 Zn 0.8227 0.8227 0.6645  1 Zn 2.75, 3 Pm 2.92-3.08
12 Zn 0.9518 0.9518 0.2451  1 Zn 2.75, 2 Pm 2.95-2.98

Entry 2:
# NaLi2BO3

A geometry-optimized NaLi2BO3 structure (GGA-PBE, Alexandria).

Properties
ΔE_f (raw) in eV/atom: -2.169
Total magnetization in μB/atom: 0.00
Mass density in g cm⁻³: 2.24
Space group: P2_1/c

Cell: 4.9807 12.1845 9.6891 Å, 90.00 105.47 90.00°
Last column: nearest neighbours and their distance in Å.
Fractional positions:
1 Na 0.0255 0.1964 0.3218  7 O 2.39-2.64
2 Na 0.0255 0.3036 0.8218  7 O 2.39-2.64
3 Na 0.3565 0.6217 0.6161  3 O 2.30-2.41
4 Na 0.3565 0.8783 0.1161  3 O 2.30-2.41
5 Na 0.6435 0.1217 0.8839  3 O 2.30-2.41
6 Na 0.6435 0.3783 0.3839  3 O 2.30-2.41
7 Na 0.9745 0.6964 0.1782  7 O 2.39-2.64
8 Na 0.9745 0.8036 0.6782  7 O 2.39-2.64
9 Li 0.1801 0.1466 0.0564  4 O 1.91-2.11
10 Li 0.1801 0.3534 0.5564  4 O 1.91-2.11
11 Li 0.2183 0.1540 0.6415  4 O 1.97-2.17
12 Li 0.2183 0.3460 0.1415  4 O 1.97-2.17
13 Li 0.2418 0.5040 0.9798  4 O 1.95-2.02
14 Li 0.2418 0.9960 0.4798  4 O 1.95-2.02
15 Li 0.4778 0.6019 0.2040  4 O 1.94-2.03
16 Li 0.4778 0.8981 0.7040  4 O 1.94-2.03
17 Li 0.5222 0.1019 0.2960  4 O 1.94-2.03
18 Li 0.5222 0.3981 0.7960  4 O 1.94-2.03
19 Li 0.7582 0.0040 0.5202  4 O 1.95-2.02
20 Li 0.7582 0.4960 0.0202  4 O 1.95-2.02
21 Li 0.7817 0.6540 0.8585  4 O 1.97-2.17
22 Li 0.7817 0.8460 0.3585  4 O 1.97-2.17
23 Li 0.8199 0.6466 0.4436  4 O 1.91-2.11
24 Li 0.8199 0.8534 0.9436  4 O 1.91-2.11
25 B 0.0431 0.0232 0.7795  3 O 1.38-1.41
26 B 0.0431 0.4768 0.2795  3 O 1.38-1.41
27 B 0.3645 0.7119 0.9248  3 O 1.39-1.40
28 B 0.3645 0.7881 0.4248  3 O 1.39-1.40
29 B 0.6355 0.2119 0.5752  3 O 1.39-1.40
30 B 0.6355 0.2881 0.0752  3 O 1.39-1.40
31 B 0.9569 0.5232 0.7205  3 O 1.38-1.41
32 B 0.9569 0.9768 0.2205  3 O 1.38-1.41
33 O 0.1126 0.7423 0.9489  1 B 1.39
34 O 0.1126 0.7577 0.4489  1 B 1.39
35 O 0.1359 0.5078 0.1597  1 B 1.41
36 O 0.1359 0.9922 0.6597  1 B 1.41
37 O 0.1629 0.1151 0.8565  1 B 1.39
38 O 0.1629 0.3849 0.3565  1 B 1.39
39 O 0.1760 0.0338 0.1921  1 B 1.38
40 O 0.1760 0.4662 0.6921  1 B 1.38
41 O 0.4710 0.7347 0.3226  1 B 1.40
42 O 0.4710 0.7653 0.8226  1 B 1.40
43 O 0.4764 0.1268 0.4958  1 B 1.40
44 O 0.4764 0.3732 0.9958  1 B 1.40
45 O 0.5236 0.6268 0.0042  1 B 1.40
46 O 0.5236 0.8732 0.5042  1 B 1.40
47 O 0.5290 0.2347 0.1774  1 B 1.40
48 O 0.5290 0.2653 0.6774  1 B 1.40
49 O 0.8240 0.5338 0.3079  1 B 1.38
50 O 0.8240 0.9662 0.8079  1 B 1.38
51 O 0.8371 0.6151 0.6435  1 B 1.39
52 O 0.8371 0.8849 0.1435  1 B 1.39
53 O 0.8641 0.0078 0.3403  1 B 1.41
54 O 0.8641 0.4922 0.8403  1 B 1.41
55 O 0.8874 0.2423 0.5511  1 B 1.39
56 O 0.8874 0.2577 0.0511  1 B 1.39

Entry 3:
# KRe2Sb

A geometry-optimized KRe2Sb structure (GGA-PBE, Alexandria).

Properties
ΔE_f (raw) in eV/atom: 1.303
Total magnetization in μB/atom: 0.00
Mass density in g cm⁻³: 9.00
Space group: P4/mmm

Cell: 3.6257 3.6257 7.4842 Å, 90.00 90.00 90.00°
Last column: nearest neighbours and their distance in Å.
Fractional positions:
1 K 0.0000 0.0000 0.0000  4 K 3.63, 8 Re 3.64, 2 Sb 3.74
2 Re 0.5000 0.5000 0.3459  1 Re 2.31
3 Re 0.5000 0.5000 0.6541  1 Re 2.31
4 Sb 0.0000 0.0000 0.5000  8 Re 2.81

Entry 4:
# BaNpCd2O6

A geometry-optimized BaNpCd2O6 structure (GGA-PBE, Alexandria).

Properties
ΔE_f (raw) in eV/atom: -2.111
Total magnetization in μB/atom: 0.10
Mass density in g cm⁻³: 6.92
Space group: R-3

Cell: 6.2273 6.2273 6.2273 Å, 58.97 58.97 58.97°
Last column: nearest neighbours and their distance in Å.
Fractional positions:
1 Ba 0.0000 0.0000 0.0000  6 O 2.71
2 Np 0.5000 0.5000 0.5000  6 O 2.09
3 Cd 0.2881 0.2881 0.2881  3 O 2.23
4 Cd 0.7119 0.7119 0.7119  3 O 2.23
5 O 0.1331 0.6764 0.4455  1 Np 2.09, 1 Cd 2.23
6 O 0.3236 0.5545 0.8669  1 Np 2.09, 1 Cd 2.23
7 O 0.4455 0.1331 0.6764  1 Np 2.09, 1 Cd 2.23
8 O 0.5545 0.8669 0.3236  1 Np 2.09, 1 Cd 2.23
9 O 0.6764 0.4455 0.1331  1 Np 2.09, 1 Cd 2.23
10 O 0.8669 0.3236 0.5545  1 Np 2.09, 1 Cd 2.23

Entry 5:
# SrZrSi2

A geometry-optimized SrZrSi2 structure (GGA-PBE, Alexandria).

Properties
ΔE_f (raw) in eV/atom: 0.480
Polymorph energy (0 for the lowest one) in meV per atom: 909
Total magnetization in μB/atom: 0.00
Mass density in g cm⁻³: 4.63
Space group: F-43m

Cell: 4.9222 4.9222 4.9222 Å, 60.00 60.00 60.00°
Last column: nearest neighbours and their distance in Å.
Fractional positions:
1 Sr 0.0000 0.0000 0.0000  4 Zr 3.01, 4 Si 3.01
2 Zr 0.7500 0.7500 0.7500  4 Si 3.01, 4 Sr 3.01
3 Si 0.2500 0.2500 0.2500  4 Si 3.01, 4 Sr 3.01
4 Si 0.5000 0.5000 0.5000  4 Si 3.01, 4 Zr 3.01

Entry 6:
# AcYMg

A geometry-optimized AcYMg structure (GGA-PBE, Alexandria).

Properties
Polymorph energy (0 for the lowest one) in meV per atom: 173
Total magnetization in μB/atom: 0.00
Mass density in g cm⁻³: 5.30
Space group: Pmma

Cell: 6.4562 3.6710 8.9923 Å, 90.00 90.00 90.00°
Last column: nearest neighbours and their distance in Å.
Fractional positions:
1 Ac 0.2500 0.0000 0.1755  6 Mg 3.64-3.71, 2 Ac 3.67, 4 Y 3.81
2 Ac 0.7500 0.0000 0.8245  6 Mg 3.64-3.71, 2 Ac 3.67, 4 Y 3.81
3 Y 0.0000 0.5000 0.5000  2 Y 3.23, 2 Mg 3.35
4 Y 0.5000 0.5000 0.5000  2 Y 3.23, 2 Mg 3.35
5 Mg 0.2500 0.5000 0.8261  2 Y 3.35, 6 Ac 3.64-3.71, 2 Mg 3.67
6 Mg 0.7500 0.5000 0.1739  2 Y 3.35, 6 Ac 3.64-3.71, 2 Mg 3.67

Entry 7:
# Sr2BeP

A geometry-optimized Sr2BeP structure (GGA-PBE, Alexandria).

Properties
Polymorph energy (0 for the lowest one) in meV per atom: 328
Total magnetization in μB/atom: 0.00
Mass density in g cm⁻³: 3.46
Space group: Fm-3m

Cell: 5.2688 5.2688 5.2688 Å, 60.00 60.00 60.00°
Last column: nearest neighbours and their distance in Å.
Fractional positions:
1 Sr 0.2500 0.2500 0.2500  4 P 3.23, 4 Be 3.23
2 Sr 0.7500 0.7500 0.7500  4 P 3.23, 4 Be 3.23
3 Be 0.0000 0.0000 0.0000  8 Sr 3.23
4 P 0.5000 0.5000 0.5000  8 Sr 3.23

Entry 8:
# ErInH

A geometry-optimized ErInH structure (GGA-PBE, Alexandria).

Properties
Polymorph energy (0 for the lowest one) in meV per atom: 0
Total magnetization in μB/atom: 0.00
Mass density in g cm⁻³: 8.72
Space group: P-1

Cell: 3.7197 4.4656 6.7502 Å, 90.54 105.98 90.07°
Last column: nearest neighbours and their distance in Å.
Fractional positions:
1 Er 0.1711 0.2547 0.3411  3 H 2.15-2.33
2 Er 0.8289 0.7453 0.6589  3 H 2.15-2.33
3 In 0.4337 0.2483 0.8681  2 In 2.81-2.82, 2 H 2.98-2.99
4 In 0.5663 0.7517 0.1319  2 In 2.81-2.82, 2 H 2.98-2.99
5 H 0.2452 0.7317 0.4915  3 Er 2.15-2.33
6 H 0.7548 0.2683 0.5085  3 Er 2.15-2.33

Entry 9:
# OsPtIN2

A geometry-optimized OsPtIN2 structure (GGA-PBE, Alexandria).

Properties
ΔE_f (raw) in eV/atom: 0.915
Polymorph energy (0 for the lowest one) in meV per atom: 0
Total magnetization in μB/atom: 0.04
Mass density in g cm⁻³: 10.21
Space group: P4/mmm

Cell: 3.8005 3.8005 6.0802 Å, 90.00 90.00 90.00°
Last column: nearest neighbours and their distance in Å.
Fractional positions:
1 Os 0.0000 0.0000 0.0000  4 N 1.90
2 Pt 0.5000 0.5000 0.5000  4 I 2.69
3 I 0.0000 0.0000 0.5000  4 Pt 2.69
4 N 0.0000 0.5000 0.0000  2 Os 1.90
5 N 0.5000 0.0000 0.0000  2 Os 1.90

Entry 10:
# CaBe2Ni

A geometry-optimized CaBe2Ni structure (GGA-PBE, Alexandria).

Properties
Polymorph energy (0 for the lowest one) in meV per atom: 510
Total magnetization in μB/atom: 0.00
Mass density in g cm⁻³: 3.48
Space group: Fm-3m

Cell: 4.2857 4.2857 4.2857 Å, 60.00 60.00 60.00°
Last column: nearest neighbours and their distance in Å.
Fractional positions:
1 Ca 0.0000 0.0000 0.0000  8 Be 2.62
2 Be 0.2500 0.2500 0.2500  4 Ca 2.62, 4 Ni 2.62
3 Be 0.7500 0.7500 0.7500  4 Ni 2.62, 4 Ca 2.62
4 Ni 0.5000 0.5000 0.5000  8 Be 2.62

Entry 11:
# YZr2Fe

A geometry-optimized YZr2Fe structure (GGA-PBE, Alexandria).

Properties
Polymorph energy (0 for the lowest one) in meV per atom: 360
Total magnetization in μB/atom: 0.75
Mass density in g cm⁻³: 6.32
Space group: F-43m

Cell: 4.9532 4.9532 4.9532 Å, 60.00 60.00 60.00°
Last column: nearest neighbours and their distance in Å.
Fractional positions:
1 Y 0.0000 0.0000 0.0000  4 Zr 3.03, 4 Fe 3.03
2 Zr 0.2500 0.2500 0.2500  4 Zr 3.03, 4 Y 3.03
3 Zr 0.5000 0.5000 0.5000  4 Zr 3.03, 4 Fe 3.03
4 Fe 0.7500 0.7500 0.7500  4 Zr 3.03, 4 Y 3.03

Entry 12:
# LaPm3Rh3

A geometry-optimized LaPm3Rh3 structure (GGA-PBE, Alexandria).

Properties
Polymorph energy (0 for the lowest one) in meV per atom: 7
Total magnetization in μB/atom: 0.00
Mass density in g cm⁻³: 8.25
Space group: C2/m

Cell: 7.0646 7.0646 7.1559 Å, 90.45 90.45 95.48°
Last column: nearest neighbours and their distance in Å.
Fractional positions:
1 La 0.2479 0.2479 0.3713  4 Rh 2.77-3.06
2 La 0.7521 0.7521 0.6287  4 Rh 2.77-3.06
3 Pm 0.1734 0.1734 0.8781  3 Rh 2.82-2.87
4 Pm 0.2545 0.7455 0.5000  6 Rh 2.99-3.10
5 Pm 0.3204 0.6796 0.0000  6 Rh 2.93-2.98
6 Pm 0.6796 0.3204 0.0000  6 Rh 2.93-2.98
7 Pm 0.7455 0.2545 0.5000  6 Rh 2.99-3.10
8 Pm 0.8266 0.8266 0.1219  3 Rh 2.82-2.87
9 Rh 0.0022 0.4918 0.2218  1 La 2.77, 5 Pm 2.87-3.10
10 Rh 0.4347 0.4347 0.6955  5 Pm 2.82-2.99, 2 La 2.91-3.06, 1 Rh 3.07
11 Rh 0.4918 0.0022 0.2218  1 La 2.77, 5 Pm 2.87-3.10
12 Rh 0.5082 0.9978 0.7782  1 La 2.77, 5 Pm 2.87-3.10
13 Rh 0.5653 0.5653 0.3045  5 Pm 2.82-2.99, 2 La 2.91-3.06, 1 Rh 3.07
14 Rh 0.9978 0.5082 0.7782  1 La 2.77, 5 Pm 2.87-3.10

Among the records above, which one has the highest mass density? OsPtIN2

mass density of number 12 (LaPm3Rh3)? 8.25 g cm⁻³